No. 1
First-principles (PBE) data for ScSiBr2 after structural relaxation, as listed in Alexandria via LeMat-Bulk.

Results
- Total DFT energy (no corrections): -50.8 eV for the cell shown
- Mass density: 3.60 g/cm³

abc: 3.4669 3.4669 30.9200
angles: 90.00 90.00 120.00
Space group R-3m (No. 166, hexagonal axes)
One atom of each set of equivalent atoms:
Sc (0.0000, 0.0000, 0.0000)
Si (0.0000, 0.0000, 0.5000)
Br (0.0000, 0.0000, 0.2755)



No. 2
First-principles (PBE) data for ScSi2Br after structural relaxation, as listed in Alexandria via LeMat-Bulk.

Results
- Total DFT energy (no corrections): -38.6 eV for the cell shown
- Mass density: 3.77 g/cm³

abc: 3.229 4.287 11.514
angles: 90.00 90.00 90.00
Space group Immm (No. 71)
One atom of each set of equivalent atoms:
Sc (0.000, 0.000, 0.000)
Si (0.000, 0.500, 0.281)
Br (0.000, 0.000, 0.500)



No. 3
First-principles (PBE) data for ScSiBr2 after structural relaxation, as listed in Alexandria via LeMat-Bulk.

Results
- Total DFT energy (no corrections): -51.1 eV for the cell shown
- Mass density: 3.88 g/cm³

abc: 3.4775 3.4775 28.5747
angles: 90.00 90.00 120.00
Space group R-3m (No. 166, hexagonal axes)
One atom of each set of equivalent atoms:
Sc (0.0000, 0.0000, 0.0000)
Si (0.0000, 0.0000, 0.5000)
Br (0.0000, 0.0000, 0.3974)



No. 4
First-principles (PBE) data for ScSiBr2 after structural relaxation, as listed in Alexandria via LeMat-Bulk.

Results
- Total DFT energy (no corrections): -31.4 eV for the cell shown
- Mass density: 4.28 g/cm³

abc: 4.029 4.029 11.131
angles: 90.00 90.00 90.00
Space group I-4m2 (No. 119)
One atom of each set of equivalent atoms:
Sc (0.000, 0.000, 0.000)
Si (0.000, 0.500, 0.750)
Br (0.000, 0.000, 0.500)
Br (0.000, 0.500, 0.250)



No. 5
First-principles (PBE) data for ScSi2Br after structural relaxation, as listed in Alexandria via LeMat-Bulk.

Results
- Total DFT energy (no corrections): -53.6 eV for the cell shown
- Mass density: 3.82 g/cm³

abc: 3.2984 3.2984 25.0707
angles: 90.00 90.00 120.00
Space group R-3m (No. 166, hexagonal axes)
One atom of each set of equivalent atoms:
Sc (0.0000, 0.0000, 0.0000)
Si (0.0000, 0.0000, 0.2522)
Br (0.0000, 0.0000, 0.5000)



No. 6
First-principles (PBE) data for ScSiBr2 after structural relaxation, as listed in Alexandria via LeMat-Bulk.

Results
- Total DFT energy (no corrections): -51.4 eV for the cell shown
- Mass density: 3.94 g/cm³

abc: 3.4803 3.4803 28.0858
angles: 90.00 90.00 120.00
Space group R3m (No. 160, hexagonal axes)
One atom of each set of equivalent atoms:
Sc (0.0000, 0.0000, 0.0000)
Si (0.0000, 0.0000, 0.7366)
Br (0.0000, 0.0000, 0.2699)
Br (0.0000, 0.0000, 0.4713)



No. 7
First-principles (PBE) data for ScSiBr2 after structural relaxation, as listed in Alexandria via LeMat-Bulk.

Results
- Total DFT energy (no corrections): -35.6 eV for the cell shown
- Mass density: 3.12 g/cm³

abc: 10.009 3.432 7.330
angles: 90.00 100.32 90.00
Space group Cm (No. 8)
One atom of each set of equivalent atoms:
Sc (0.000, 0.000, 0.000)
Si (0.225, 0.500, 0.049)
Br (0.082, 0.500, 0.301)
Br (0.373, 0.000, 0.745)



No. 8
First-principles (PBE) data for ScSi2Br after structural relaxation, as listed in Alexandria via LeMat-Bulk.

Results
- Total DFT energy (no corrections): -20.1 eV for the cell shown
- Mass density: 3.40 g/cm³

abc: 3.239 3.239 8.423
angles: 90.00 90.00 90.00
Space group P4mm (No. 99)
One atom of each set of equivalent atoms:
Sc (0.000, 0.000, 0.000)
Si (0.000, 0.000, 0.361)
Si (0.500, 0.500, 0.216)
Br (0.500, 0.500, 0.795)